Arrangement i

TlHg2 after structural relaxation. Source: Alexandria via LeMat-Bulk, functional PBEsol.

DOS(E_F)	1.026	states/eV/f.u.
total moment	0.000	Bohr magnetons per cell
symmetry	No. 71
crystal system	orthorhombic

Unit cell a=3.353 b=4.470 c=5.771 alpha=112.79 beta=106.89 gamma=90.00
Sites, in units of the cell vectors:
Tl: 0.000 0.000 0.000
Hg: 0.672 0.672 0.344
Hg: 0.328 0.328 0.656

=====

Arrangement ii

TlHg2 after structural relaxation. Source: Alexandria via LeMat-Bulk, functional PBEsol.

DOS(E_F)	1.088	states/eV/f.u.
total moment	0.000	Bohr magnetons per cell
symmetry	No. 189
crystal system	hexagonal

Unit cell a=3.257 b=9.023 c=9.023 alpha=120.00 beta=90.00 gamma=90.00
Sites, in units of the cell vectors:
Hg: 0.000 0.688 0.688
Hg: 0.000 0.000 0.312
Hg: 0.000 0.312 0.000
Hg: 0.500 0.355 0.355
Hg: 0.500 0.000 0.645
Hg: 0.500 0.645 0.000
Tl: 0.000 0.667 0.333
Tl: 0.000 0.333 0.667
Tl: 0.500 0.000 0.000

=====

Arrangement iii

TlHg2 after structural relaxation. Source: Alexandria via LeMat-Bulk, functional PBEsol.

DOS(E_F)	1.250	states/eV/f.u.
total moment	0.000	Bohr magnetons per cell
symmetry	No. 194
crystal system	hexagonal

Unit cell a=5.392 b=5.392 c=6.115 alpha=90.00 beta=90.00 gamma=120.00
Sites, in units of the cell vectors:
Hg: 0.000 0.000 0.000
Hg: 0.000 0.000 0.500
Hg: 0.667 0.333 0.250
Hg: 0.333 0.667 0.750
Tl: 0.667 0.333 0.750
Tl: 0.333 0.667 0.250

=====

Arrangement iv

TlHg2 after structural relaxation. Source: Alexandria via LeMat-Bulk, functional PBEsol.

DOS(E_F)	1.132	states/eV/f.u.
total moment	0.000	Bohr magnetons per cell
symmetry	No. 8
crystal system	monoclinic

Unit cell a=3.293 b=6.482 c=7.588 alpha=104.58 beta=90.00 gamma=104.72
Sites, in units of the cell vectors:
Hg: 0.001 0.001 0.008
Hg: 0.670 0.340 0.335
Hg: 0.329 0.659 0.658
Hg: 0.391 0.782 0.276
Tl: 0.048 0.097 0.606
Tl: 0.727 0.455 0.951

=====

Q: Which of them is the most stable? A: arrangement i.

=====

Arrangement i

TlHg2 after structural relaxation. Source: Alexandria via LeMat-Bulk, functional PBEsol.

DOS(E_F)	0.963	states/eV/f.u.
total moment	0.000	Bohr magnetons per cell
symmetry	No. 62
crystal system	orthorhombic

Unit cell a=4.698 b=6.561 c=9.795 alpha=90.00 beta=90.00 gamma=90.00
Sites, in units of the cell vectors:
Hg: 0.750 0.383 0.253
Hg: 0.250 0.117 0.753
Hg: 0.750 0.883 0.247
Hg: 0.250 0.617 0.747
Hg: 0.750 0.373 0.579
Hg: 0.250 0.127 0.079
Hg: 0.750 0.873 0.921
Hg: 0.250 0.627 0.421
Tl: 0.750 0.868 0.591
Tl: 0.250 0.632 0.091
Tl: 0.750 0.368 0.909
Tl: 0.250 0.132 0.409

=====

Arrangement ii

TlHg2 after structural relaxation. Source: Alexandria via LeMat-Bulk, functional PBEsol.

DOS(E_F)	1.127	states/eV/f.u.
total moment	0.000	Bohr magnetons per cell
symmetry	No. 63
crystal system	orthorhombic

Unit cell a=3.402 b=5.545 c=8.255 alpha=90.00 beta=101.89 gamma=90.00
Sites, in units of the cell vectors:
Hg: 0.609 0.750 0.218
Hg: 0.951 0.750 0.903
Hg: 0.049 0.250 0.097
Hg: 0.391 0.250 0.782
Tl: 0.284 0.750 0.568
Tl: 0.716 0.250 0.432

=====

Arrangement iii

TlHg2 after structural relaxation. Source: Alexandria via LeMat-Bulk, functional PBEsol.

DOS(E_F)	1.387	states/eV/f.u.
total moment	0.000	Bohr magnetons per cell
symmetry	No. 227
crystal system	cubic

Unit cell a=6.015 b=6.015 c=6.015 alpha=60.00 beta=60.00 gamma=60.00
Sites, in units of the cell vectors:
Hg: 0.125 0.125 0.125
Hg: 0.125 0.125 0.625
Hg: 0.125 0.625 0.125
Hg: 0.625 0.125 0.125
Tl: 0.500 0.500 0.500
Tl: 0.750 0.750 0.750

=====

Arrangement iv

TlHg2 after structural relaxation. Source: Alexandria via LeMat-Bulk, functional PBEsol.

DOS(E_F)	1.084	states/eV/f.u.
total moment	0.000	Bohr magnetons per cell
symmetry	No. 164
crystal system	trigonal

Unit cell a=3.363 b=3.363 c=7.761 alpha=90.00 beta=90.00 gamma=120.00
Sites, in units of the cell vectors:
Tl: 0.000 0.000 0.000
Hg: 0.333 0.667 0.344
Hg: 0.667 0.333 0.656

=====

Q: Which of them is the most stable? A: arrangement i.

=====

Arrangement i

TlHg2W after structural relaxation. Source: Alexandria via LeMat-Bulk, functional PBEsol.

DOS(E_F)	2.876	states/eV/f.u.
total moment	0.000	Bohr magnetons per cell
symmetry	No. 10
crystal system	monoclinic

Unit cell a=2.974 b=4.804 c=5.809 alpha=90.00 beta=98.94 gamma=90.00
Sites, in units of the cell vectors:
Hg: 0.901 0.000 0.727
Hg: 0.099 0.000 0.273
Tl: 0.500 0.500 0.000
W: 0.500 0.500 0.500

=====

Arrangement ii

TlHg2W after structural relaxation. Source: Alexandria via LeMat-Bulk, functional PBEsol.

DOS(E_F)	2.502	states/eV/f.u.
total moment	0.547	Bohr magnetons per cell
symmetry	No. 71
crystal system	orthorhombic

Unit cell a=2.910 b=4.877 c=6.794 alpha=111.03 beta=102.37 gamma=90.00
Last column: magnetic moment on the atom in μB.
Sites, in units of the cell vectors:
Hg: 0.699 0.699 0.397  0.01
Hg: 0.301 0.301 0.603  0.01
Tl: 0.500 0.000 0.000  -0.01
W: 0.000 0.500 0.000  0.43

=====

Q: Which of them is the most stable? A: arrangement ii.

=====

Arrangement i

YTlHg after structural relaxation. Source: Alexandria via LeMat-Bulk, functional PBEsol.

DOS(E_F)	0.397	states/eV/f.u.
total moment	0.000	Bohr magnetons per cell
symmetry	No. 216
crystal system	cubic

Unit cell a=4.826 b=4.826 c=4.826 alpha=60.00 beta=60.00 gamma=60.00
Sites, in units of the cell vectors:
Y: 0.500 0.500 0.500
Tl: 0.000 0.000 0.000
Hg: 0.250 0.250 0.250

=====

Arrangement ii

YTlHg after structural relaxation. Source: Alexandria via LeMat-Bulk, functional PBEsol.

DOS(E_F)	1.781	states/eV/f.u.
total moment	0.000	Bohr magnetons per cell
symmetry	No. 156
crystal system	trigonal

Unit cell a=3.601 b=4.855 c=4.855 alpha=120.00 beta=90.00 gamma=90.00
Sites, in units of the cell vectors:
Y: 0.326 0.667 0.333
Tl: 0.743 0.333 0.667
Hg: 0.931 0.000 0.000

=====

Q: Which of them is the most stable? A: arrangement ii.

=====

Arrangement i

Tl2ZnHg2 after structural relaxation. Source: Alexandria via LeMat-Bulk, functional PBEsol.

DOS(E_F)	1.981	states/eV/f.u.
total moment	0.000	Bohr magnetons per cell
symmetry	No. 127
crystal system	tetragonal

Unit cell a=5.124 b=6.981 c=6.981 alpha=90.00 beta=90.00 gamma=90.00
Sites, in units of the cell vectors:
Zn: 0.000 0.000 0.000
Zn: 0.000 0.500 0.500
Tl: 0.500 0.174 0.674
Tl: 0.500 0.674 0.826
Tl: 0.500 0.826 0.326
Tl: 0.500 0.326 0.174
Hg: 0.000 0.352 0.852
Hg: 0.000 0.852 0.648
Hg: 0.000 0.648 0.148
Hg: 0.000 0.148 0.352

=====

Arrangement ii

Tl2ZnHg2 after structural relaxation. Source: Alexandria via LeMat-Bulk, functional PBEsol.

DOS(E_F)	2.671	states/eV/f.u.
total moment	0.000	Bohr magnetons per cell
symmetry	No. 139
crystal system	tetragonal

Unit cell a=4.357 b=4.357 c=7.874 alpha=106.06 beta=106.06 gamma=90.00
Sites, in units of the cell vectors:
Zn: 0.000 0.000 0.000
Tl: 0.250 0.750 0.500
Tl: 0.750 0.250 0.500
Hg: 0.406 0.406 0.811
Hg: 0.594 0.594 0.189

=====

Q: Which of them is the most stable? A: arrangement i.

=====

Arrangement i

Tl2ZnHg after structural relaxation. Source: Alexandria via LeMat-Bulk, functional PBEsol.

DOS(E_F)	1.601	states/eV/f.u.
total moment	0.000	Bohr magnetons per cell
symmetry	No. 8
crystal system	monoclinic

Unit cell a=3.473 b=5.341 c=6.000 alpha=115.04 beta=106.83 gamma=90.00
Sites, in units of the cell vectors:
Zn: 0.511 0.495 0.023
Tl: 0.992 0.987 0.984
Tl: 0.779 0.288 0.557
Hg: 0.218 0.730 0.436

=====

Arrangement ii

Tl2ZnHg after structural relaxation. Source: Alexandria via LeMat-Bulk, functional PBEsol.

DOS(E_F)	1.847	states/eV/f.u.
total moment	0.000	Bohr magnetons per cell
symmetry	No. 99
crystal system	tetragonal

Unit cell a=3.403 b=3.403 c=8.165 alpha=90.00 beta=90.00 gamma=90.00
Sites, in units of the cell vectors:
Zn: 0.000 0.000 0.525
Tl: 0.000 0.000 0.981
Tl: 0.500 0.500 0.286
Hg: 0.500 0.500 0.708

=====

Arrangement iii

Tl2ZnHg after structural relaxation. Source: Alexandria via LeMat-Bulk, functional PBEsol.

DOS(E_F)	1.338	states/eV/f.u.
total moment	0.000	Bohr magnetons per cell
symmetry	No. 160
crystal system	trigonal

Unit cell a=3.483 b=3.483 c=9.401 alpha=79.32 beta=79.32 gamma=60.00
Sites, in units of the cell vectors:
Zn: 0.505 0.505 0.485
Tl: 0.995 0.995 0.014
Tl: 0.761 0.761 0.718
Hg: 0.239 0.239 0.283

=====

Q: Which of them is the most stable? A: arrangement ii.

=====

Arrangement i

ZrTl2Hg after structural relaxation. Source: Alexandria via LeMat-Bulk, functional PBEsol.

DOS(E_F)	2.812	states/eV/f.u.
total moment	0.000	Bohr magnetons per cell
symmetry	No. 123
crystal system	tetragonal

Unit cell a=3.646 b=3.646 c=6.908 alpha=90.00 beta=90.00 gamma=90.00
Sites, in units of the cell vectors:
Hg: 0.500 0.500 0.500
Tl: 0.000 0.000 0.750
Tl: 0.000 0.000 0.250
Zr: 0.500 0.500 0.000

=====

Arrangement ii

ZrTl2Hg after structural relaxation. Source: Alexandria via LeMat-Bulk, functional PBEsol.

DOS(E_F)	3.021	states/eV/f.u.
total moment	0.000	Bohr magnetons per cell
symmetry	No. 35
crystal system	orthorhombic

Unit cell a=3.239 b=3.239 c=10.172 alpha=90.00 beta=90.00 gamma=115.21
Sites, in units of the cell vectors:
Hg: 0.500 0.500 0.264
Tl: 0.000 0.000 0.004
Tl: 0.500 0.500 0.738
Zr: 0.000 0.000 0.494

=====

Q: Which of them is the most stable? A: arrangement ii.

=====

Arrangement i

YHg2W after structural relaxation. Source: Alexandria via LeMat-Bulk, functional PBEsol.

DOS(E_F)	3.314	states/eV/f.u.
total moment	0.000	Bohr magnetons per cell
symmetry	No. 47
crystal system	orthorhombic

Unit cell a=3.049 b=4.211 c=6.209 alpha=90.00 beta=90.00 gamma=90.00
Sites, in units of the cell vectors:
Hg: 0.000 0.000 0.771
Hg: 0.000 0.000 0.229
W: 0.500 0.500 0.000
Y: 0.500 0.500 0.500

=====

Arrangement ii

YHg2W after structural relaxation. Source: Alexandria via LeMat-Bulk, functional PBEsol.

DOS(E_F)	3.996	states/eV/f.u.
total moment	1.063	Bohr magnetons per cell
symmetry	No. 225
crystal system	cubic

Unit cell a=4.870 b=4.870 c=4.870 alpha=60.00 beta=60.00 gamma=60.00
Last column: magnetic moment on the atom in μB.
Sites, in units of the cell vectors:
Hg: 0.250 0.250 0.250  0.01
Hg: 0.750 0.750 0.750  0.01
W: 0.000 0.000 0.000  0.83
Y: 0.500 0.500 0.500  -0.01

=====

Q: Which of them is the most stable? A: arrangement i.

=====

Arrangement i

Zr2ZnHg after structural relaxation. Source: Alexandria via LeMat-Bulk, functional PBEsol.

DOS(E_F)	2.239	states/eV/f.u.
total moment	0.000	Bohr magnetons per cell
symmetry	No. 25
crystal system	orthorhombic

Unit cell a=3.204 b=4.015 c=6.117 alpha=90.00 beta=90.00 gamma=90.00
Sites, in units of the cell vectors:
Hg: 0.000 0.000 0.506
Zn: 0.500 0.500 0.759
Zr: 0.000 0.000 0.982
Zr: 0.500 0.500 0.253

=====

Arrangement ii

Zr2ZnHg after structural relaxation. Source: Alexandria via LeMat-Bulk, functional PBEsol.

DOS(E_F)	3.561	states/eV/f.u.
total moment	0.000	Bohr magnetons per cell
symmetry	No. 8
crystal system	monoclinic

Unit cell a=3.169 b=5.002 c=5.688 alpha=115.32 beta=106.18 gamma=90.00
Sites, in units of the cell vectors:
Zn: 0.242 0.734 0.483
Hg: 0.521 0.527 0.041
Zr: 0.987 0.993 0.973
Zr: 0.751 0.245 0.502

=====

Arrangement iii

Zr2ZnHg after structural relaxation. Source: Alexandria via LeMat-Bulk, functional PBEsol.

DOS(E_F)	0.990	states/eV/f.u.
total moment	0.000	Bohr magnetons per cell
symmetry	No. 225
crystal system	cubic

Unit cell a=4.794 b=4.794 c=4.794 alpha=60.00 beta=60.00 gamma=60.00
Sites, in units of the cell vectors:
Zn: 0.500 0.500 0.500
Hg: 0.000 0.000 0.000
Zr: 0.250 0.250 0.250
Zr: 0.750 0.750 0.750

=====

Arrangement iv

Zr2ZnHg after structural relaxation. Source: Alexandria via LeMat-Bulk, functional PBEsol.

DOS(E_F)	3.558	states/eV/f.u.
total moment	0.000	Bohr magnetons per cell
symmetry	No. 47
crystal system	orthorhombic

Unit cell a=3.000 b=4.018 c=6.354 alpha=90.00 beta=90.00 gamma=90.00
Sites, in units of the cell vectors:
Zn: 0.500 0.500 0.500
Hg: 0.500 0.500 0.000
Zr: 0.000 0.000 0.737
Zr: 0.000 0.000 0.263

=====

Q: Which of them is the most stable? A: arrangement iv.

=====

Arrangement i

Zr2ZnHg after structural relaxation. Source: Alexandria via LeMat-Bulk, functional PBEsol.

DOS(E_F)	3.322	states/eV/f.u.
total moment	0.000	Bohr magnetons per cell
symmetry	No. 65
crystal system	orthorhombic

Unit cell a=3.215 b=5.016 c=5.016 alpha=108.04 beta=90.00 gamma=90.00
Sites, in units of the cell vectors:
Zn: 0.500 0.500 0.500
Hg: 0.500 0.000 0.000
Zr: 0.000 0.500 0.000
Zr: 0.000 0.000 0.500

=====

Arrangement ii

Zr2ZnHg after structural relaxation. Source: Alexandria via LeMat-Bulk, functional PBEsol.

DOS(E_F)	3.025	states/eV/f.u.
total moment	0.000	Bohr magnetons per cell
symmetry	No. 123
crystal system	tetragonal

Unit cell a=3.090 b=3.090 c=7.988 alpha=90.00 beta=90.00 gamma=90.00
Sites, in units of the cell vectors:
Zn: 0.500 0.500 0.500
Hg: 0.500 0.500 0.000
Zr: 0.000 0.000 0.732
Zr: 0.000 0.000 0.268

=====

Q: Which of them is the most stable? A: arrangement ii.